A plane-wave DFT calculation with PBE-GGA was carried out for LiCuOF2 after structural relaxation.

Computed properties:
- Magnetization: 1.10 μB/cell
- Excess energy over the best structure of this formula in the dataset: 0 meV/atom
- Calculated volume: 59.1 Å³/f.u.
- Space group: P4/mmm (123)

The structure in POSCAR format:
```
LiCuOF2
1.0
4.0455 0.0000 0.0000
0.0000 4.0455 0.0000
0.0000 0.0000 3.6118
F O Cu Li
2 1 1 1
Direct
0.0000 0.5000 0.0000
0.5000 0.0000 0.0000
0.0000 0.0000 0.5000
0.0000 0.0000 0.0000
0.5000 0.5000 0.5000
```

---

A plane-wave DFT calculation with PBE-GGA was carried out for LiCuO2F after structural relaxation.

Computed properties:
- Magnetization: 3.00 μB/cell
- Total energy: -3.871 eV per atom
- Calculated volume: 48.9 Å³/f.u.
- Space group: P4/mmm (123)

The structure in POSCAR format:
```
LiCuO2F
1.0
3.6989 0.0000 0.0000
0.0000 3.6989 0.0000
0.0000 0.0000 3.5761
F Li O Cu
1 1 2 1
Direct
0.0000 0.0000 0.5000
0.0000 0.0000 0.0000
0.0000 0.5000 0.0000
0.5000 0.0000 0.0000
0.5000 0.5000 0.5000
```

---

A plane-wave DFT calculation with PBE-GGA was carried out for LiCuOF2 after structural relaxation.

Computed properties:
- Magnetization: 2.00 μB/cell
- Excess energy over the best structure of this formula in the dataset: 471 meV/atom
- Calculated volume: 49.2 Å³/f.u.
- Space group: P4/mmm (123)

The structure in POSCAR format:
```
LiCuOF2
1.0
-1.0222 -3.2884 1.0067
3.0908 -1.3389 -1.2352
1.6079 0.5496 3.4277
Cu Li O F
1 1 1 2
Direct
0.5000 0.5000 0.5000
0.0000 0.0000 0.0000
0.0000 0.0000 0.5000
0.0000 0.5000 0.0000
0.5000 0.0000 0.0000
```

---

A plane-wave DFT calculation with PBE-GGA was carried out for LiCuO2F after structural relaxation.

Computed properties:
- Magnetization: 1.44 μB/cell
- Total energy: -4.404 eV per atom
- Calculated volume: 56.7 Å³/f.u.
- Space group: P4/mmm (123)

The structure in POSCAR format:
```
LiCuO2F
1.0
3.6820 0.0000 0.0000
0.0000 3.6820 0.0000
0.0000 0.0000 4.1790
F O Cu Li
1 2 1 1
Direct
0.0000 0.0000 0.5000
0.5000 0.0000 0.0000
0.0000 0.5000 0.0000
0.0000 0.0000 0.0000
0.5000 0.5000 0.5000
```

---

A plane-wave DFT calculation with PBE-GGA was carried out for LiCuOsF6 after structural relaxation.

Computed properties:
- Magnetization: 4.01 μB/cell
- Total energy: -4.939 eV per atom
- Calculated volume: 108.5 Å³/f.u.
- Space group: P-31c (163)

The structure in POSCAR format:
```
LiCuOsF6
1.0
5.2081 0.0000 0.0000
-2.6041 4.5104 0.0000
0.0000 0.0000 9.2396
Cu F Li Os
2 12 2 2
Direct
0.0000 0.0000 0.0000
0.0000 0.0000 0.5000
0.9927 0.6515 0.3682
0.0073 0.3485 0.6318
0.9927 0.3412 0.1318
0.0073 0.6588 0.8682
0.6588 0.0073 0.3682
0.3412 0.3485 0.8682
0.6588 0.6515 0.1318
0.3412 0.9927 0.6318
0.3485 0.3412 0.3682
0.3485 0.0073 0.1318
0.6515 0.6588 0.6318
0.6515 0.9927 0.8682
0.3333 0.6667 0.2500
0.6667 0.3333 0.7500
0.6667 0.3333 0.2500
0.3333 0.6667 0.7500
```

---

A plane-wave DFT calculation with PBE-GGA was carried out for Li2CuPbF8 after structural relaxation.

Computed properties:
- Magnetization: 1.00 μB/cell
- Total energy: -4.378 eV per atom
- Calculated volume: 150.5 Å³/f.u.
- Space group: P-1 (2)

The structure in POSCAR format:
```
Li2CuPbF8
1.0
-1.7755 -2.6314 -3.5657
4.4994 -0.9003 -1.2836
-0.1963 -5.4128 3.8248
F Pb Cu Li
8 1 1 2
Direct
0.1876 0.8087 0.7530
0.7910 0.2148 0.7369
0.2090 0.7852 0.2631
0.2885 0.2856 0.9997
0.3168 0.3111 0.4993
0.8124 0.1913 0.2470
0.7115 0.7144 0.0003
0.6832 0.6889 0.5007
0.0000 0.0000 0.5000
0.0000 0.0000 0.0000
0.4957 0.5051 0.7800
0.5043 0.4949 0.2200
```

---

A plane-wave DFT calculation with PBE-GGA was carried out for LiCu2PbF8 after structural relaxation.

Computed properties:
- Magnetization: 1.22 μB/cell
- Total energy: -4.256 eV per atom
- Calculated volume: 153.7 Å³/f.u.
- Space group: I-4 (82)

The structure in POSCAR format:
```
LiCu2PbF8
1.0
5.4240 0.0000 0.0000
0.0000 5.4240 0.0000
-2.7120 -2.7120 5.2230
F Cu Li Pb
8 2 1 1
Direct
0.0186 0.9667 0.6217
0.7334 0.2762 0.8772
0.7238 0.8562 0.1228
0.3450 0.9814 0.3783
0.3991 0.2666 0.1228
0.1438 0.6009 0.8772
0.6031 0.6550 0.6217
0.0333 0.3969 0.3783
0.2500 0.7500 0.5000
0.5000 0.5000 0.0000
0.0000 0.0000 0.0000
0.7500 0.2500 0.5000
```

---

A plane-wave DFT calculation with PBE-GGA was carried out for Li2CuPdF6 after structural relaxation.

Computed properties:
- Magnetization: 1.00 μB/cell
- Total energy: -4.386 eV per atom
- Calculated volume: 115.1 Å³/f.u.
- Space group: P1 (1)

The structure in POSCAR format:
```
Li2CuPdF6
1.0
-2.4932 -4.1574 -2.0018
1.7892 -2.2851 -4.3768
2.5238 -5.0732 0.5476
Pd Li F Cu
1 2 6 1
Direct
0.8208 0.8210 0.5373
0.0257 0.0248 0.9259
0.5223 0.5227 0.4336
0.1092 0.4044 0.7691
0.5898 0.2331 0.2576
0.4045 0.7185 0.7673
0.2325 0.9184 0.2573
0.7176 0.1097 0.7687
0.9196 0.5896 0.2576
0.3197 0.3195 0.0408
```